Entry 1:
# GGA-PBE PuHf2ThAs4, optimized geometry
data_PuHf2ThAs4
_symmetry_space_group_name_H-M 'P 1 2/m 1'
_symmetry_Int_Tables_number 10
_cell_length_a 6.9360
_cell_length_b 4.0021
_cell_length_c 6.9657
_cell_angle_alpha 90.00
_cell_angle_beta 109.32
_cell_angle_gamma 90.00
loop_
_symmetry_equiv_pos_as_xyz
'x,y,z'
'-x,-y,-z'
'-x,y,-z'
'x,-y,z'
loop_
_atom_site_label
_atom_site_type_symbol
_atom_site_fract_x
_atom_site_fract_y
_atom_site_fract_z
Pu1 Pu 0.0000 0.0000 0.0000
Hf1 Hf 0.0000 0.5000 0.5000
Hf2 Hf 0.5000 0.0000 0.5000
Th1 Th 0.5000 0.5000 0.0000
As1 As 0.2382 0.0000 0.7243
As2 As 0.2538 0.5000 0.2721
# N(E_F): 11.37 states/eV/cell
# ΔH_f (0 K): -9.0 eV per formula unit
# Total energy: -8.6566 eV/atom
# Total magnetization: 5.39 μB per formula unit

Entry 2:
# GGA-PBE NaRe2AuS, optimized geometry
data_NaRe2AuS
_symmetry_space_group_name_H-M 'P 4/m m m'
_symmetry_Int_Tables_number 123
_symmetry_space_group_name_Hall '-P 4 2'
_cell_length_a 4.8384
_cell_length_b 4.8384
_cell_length_c 4.6430
_cell_angle_alpha 90.00
_cell_angle_beta 90.00
_cell_angle_gamma 90.00
loop_
_atom_site_label
_atom_site_type_symbol
_atom_site_fract_x
_atom_site_fract_y
_atom_site_fract_z
Na1 Na 0.0000 0.0000 0.0000
Re1 Re 0.0000 0.5000 0.0000
Au1 Au 0.0000 0.0000 0.5000
S1 S 0.5000 0.5000 0.5000
# N(E_F): 4.83 states/eV/cell
# Total energy: -3.8441 eV/atom
# Total magnetization: 6.17 μB per formula unit
# Uncorrected formation energy: 2.8799 eV per atom

Entry 3:
# GGA-PBE MnOsI3, optimized geometry
data_MnOsI3
_symmetry_space_group_name_H-M 'P m -3 m'
_symmetry_Int_Tables_number 221
_symmetry_space_group_name_Hall '-P 4 2 3'
_cell_length_a 5.3885
_cell_length_b 5.3885
_cell_length_c 5.3885
_cell_angle_alpha 90.00
_cell_angle_beta 90.00
_cell_angle_gamma 90.00
loop_
_atom_site_label
_atom_site_type_symbol
_atom_site_fract_x
_atom_site_fract_y
_atom_site_fract_z
Mn1 Mn 0.0000 0.0000 0.0000
Os1 Os 0.5000 0.5000 0.5000
I1 I 0.0000 0.5000 0.5000
# Excess energy over the best structure of this formula in the dataset: 0.000 eV/atom
# N(E_F): 5.29 states/eV/cell
# Total energy: -4.0677 eV/atom
# Total magnetization: 4.65 μB per formula unit
# Uncorrected formation energy: 0.9422 eV per atom

Entry 4:
# GGA-PBE PmTmCdRh, optimized geometry
data_PmTmCdRh
_symmetry_space_group_name_H-M 'F -4 3 m'
_symmetry_Int_Tables_number 216
_symmetry_space_group_name_Hall 'F -4 2 3'
_cell_length_a 7.1976
_cell_length_b 7.1976
_cell_length_c 7.1976
_cell_angle_alpha 90.00
_cell_angle_beta 90.00
_cell_angle_gamma 90.00
loop_
_atom_site_label
_atom_site_type_symbol
_atom_site_fract_x
_atom_site_fract_y
_atom_site_fract_z
Pm1 Pm 0.0000 0.0000 0.0000
Tm1 Tm 0.0000 0.0000 0.5000
Cd1 Cd 0.2500 0.2500 0.2500
Rh1 Rh 0.2500 0.2500 0.7500
# N(E_F): 9.52 states/eV/cell
# ΔH_f (0 K): -2.0 eV per formula unit
# Total energy: -4.8706 eV/atom
# Total magnetization: 0.00 μB per formula unit

Entry 5:
# GGA-PBE Zr2PaTaN4, optimized geometry
data_Zr2PaTaN4
_symmetry_space_group_name_H-M 'P 1 2/m 1'
_symmetry_Int_Tables_number 10
_cell_length_a 5.6827
_cell_length_b 3.3009
_cell_length_c 5.6841
_cell_angle_alpha 90.00
_cell_angle_beta 108.81
_cell_angle_gamma 90.00
loop_
_symmetry_equiv_pos_as_xyz
'x,y,z'
'-x,-y,-z'
'-x,y,-z'
'x,-y,z'
loop_
_atom_site_label
_atom_site_type_symbol
_atom_site_fract_x
_atom_site_fract_y
_atom_site_fract_z
Zr1 Zr 0.0000 0.0000 0.0000
Zr2 Zr 0.5000 0.5000 0.0000
Pa1 Pa 0.0000 0.5000 0.5000
Ta1 Ta 0.5000 0.0000 0.5000
N1 N 0.2650 0.5000 0.2595
N2 N 0.2665 0.0000 0.7555
# N(E_F): 3.75 states/eV/cell
# Total energy: -10.4357 eV/atom
# Total magnetization: 0.00 μB per formula unit
# Uncorrected formation energy: -1.4674 eV per atom

Entry 6:
# GGA-PBE La2ErCd6, optimized geometry
data_La2ErCd6
_symmetry_space_group_name_H-M 'P 6/m m m'
_symmetry_Int_Tables_number 191
_symmetry_space_group_name_Hall '-P 6 2'
_cell_length_a 8.8289
_cell_length_b 8.8289
_cell_length_c 3.4649
_cell_angle_alpha 90.00
_cell_angle_beta 90.00
_cell_angle_gamma 120.00
loop_
_atom_site_label
_atom_site_type_symbol
_atom_site_fract_x
_atom_site_fract_y
_atom_site_fract_z
La1 La 0.3333 0.6667 0.0000
Er1 Er 0.0000 0.0000 0.0000
Cd1 Cd 0.0000 0.3275 0.5000
# N(E_F): 7.54 states/eV/cell
# ΔH_f (0 K): -3.1 eV per formula unit
# Total energy: -2.5523 eV/atom
# Total magnetization: 0.36 μB per formula unit

Entry 7:
# GGA-PBE Li3Sb2Au7, optimized geometry
data_Li3Sb2Au7
_symmetry_space_group_name_H-M 'P 1 2/m 1'
_symmetry_Int_Tables_number 10
_cell_length_a 4.3247
_cell_length_b 3.3954
_cell_length_c 16.1399
_cell_angle_alpha 90.00
_cell_angle_beta 95.53
_cell_angle_gamma 90.00
loop_
_symmetry_equiv_pos_as_xyz
'x,y,z'
'-x,-y,-z'
'-x,y,-z'
'x,-y,z'
loop_
_atom_site_label
_atom_site_type_symbol
_atom_site_fract_x
_atom_site_fract_y
_atom_site_fract_z
Li1 Li 0.0000 0.0000 0.0000
Li2 Li 0.2876 0.5000 0.5914
Sb1 Sb 0.0960 0.0000 0.2776
Au1 Au 0.0343 0.5000 0.1203
Au2 Au 0.2346 0.0000 0.4461
Au3 Au 0.4488 0.0000 0.8329
Au4 Au 0.5000 0.5000 0.0000
# Excess energy over the best structure of this formula in the dataset: 0.095 eV/atom
# N(E_F): 3.44 states/eV/cell
# Total energy: -3.3051 eV/atom
# Total magnetization: 0.00 μB per formula unit
# Uncorrected formation energy: -0.2278 eV per atom

Entry 8:
# GGA-PBE AsHF, optimized geometry
data_AsHF
_symmetry_space_group_name_H-M 'P 1 21/c 1'
_symmetry_Int_Tables_number 14
_cell_length_a 8.9287
_cell_length_b 3.6831
_cell_length_c 5.7550
_cell_angle_alpha 90.00
_cell_angle_beta 95.18
_cell_angle_gamma 90.00
loop_
_symmetry_equiv_pos_as_xyz
'x,y,z'
'-x,-y,-z'
'-x,y+1/2,-z+1/2'
'x,-y+1/2,z+1/2'
loop_
_atom_site_label
_atom_site_type_symbol
_atom_site_fract_x
_atom_site_fract_y
_atom_site_fract_z
As1 As 0.0950 0.2500 0.0130
H1 H 0.4923 0.5201 0.2573
F1 F 0.4378 0.7468 0.3193
# N(E_F): 0.08 states/eV/cell
# Total energy: -4.3014 eV/atom
# Total magnetization: 0.00 μB per formula unit

Entry 9:
# GGA-PBE CdIn2Ir, optimized geometry
data_CdIn2Ir
_symmetry_space_group_name_H-M 'P 4/m m m'
_symmetry_Int_Tables_number 123
_symmetry_space_group_name_Hall '-P 4 2'
_cell_length_a 3.1064
_cell_length_b 3.1064
_cell_length_c 8.7692
_cell_angle_alpha 90.00
_cell_angle_beta 90.00
_cell_angle_gamma 90.00
loop_
_atom_site_label
_atom_site_type_symbol
_atom_site_fract_x
_atom_site_fract_y
_atom_site_fract_z
Cd1 Cd 0.0000 0.0000 0.0000
In1 In 0.5000 0.5000 0.2945
Ir1 Ir 0.0000 0.0000 0.5000
# N(E_F): 2.18 states/eV/cell
# ΔH_f (0 K): 0.2 eV per formula unit
# Total energy: -3.7599 eV/atom
# Total magnetization: 0.00 μB per formula unit

Entry 10:
# GGA-PBE CdPt, optimized geometry
data_CdPt
_symmetry_space_group_name_H-M 'C 1 m 1'
_symmetry_Int_Tables_number 8
_cell_length_a 10.4943
_cell_length_b 2.9335
_cell_length_c 7.4492
_cell_angle_alpha 90.00
_cell_angle_beta 110.57
_cell_angle_gamma 90.00
loop_
_symmetry_equiv_pos_as_xyz
'x,y,z'
'x,-y,z'
'x+1/2,y+1/2,z'
'x+1/2,-y+1/2,z'
loop_
_atom_site_label
_atom_site_type_symbol
_atom_site_fract_x
_atom_site_fract_y
_atom_site_fract_z
Cd1 Cd 0.0000 0.0000 0.0000
Cd2 Cd 0.0271 0.0000 0.6041
Cd3 Cd 0.2005 0.5000 0.3443
Pt1 Pt 0.2128 0.5000 0.9432
Pt2 Pt 0.3123 0.0000 0.6885
Pt3 Pt 0.4081 0.0000 0.2564
# N(E_F): 4.96 states/eV/cell
# ΔH_f (0 K): -0.5 eV per formula unit
# Total energy: -3.7251 eV/atom
# Total magnetization: 0.00 μB per formula unit

Entry 11:
# GGA-PBE ThSnS2N, optimized geometry
data_ThSnS2N
_symmetry_space_group_name_H-M 'P 4/n m m'
_symmetry_Int_Tables_number 129
_cell_length_a 3.9681
_cell_length_b 3.9681
_cell_length_c 13.7903
_cell_angle_alpha 90.00
_cell_angle_beta 90.00
_cell_angle_gamma 90.00
loop_
_symmetry_equiv_pos_as_xyz
'x,y,z'
'-x,-y,-z'
'-y+1/2,x,z'
'y+1/2,-x,-z'
'-x+1/2,-y+1/2,z'
'x+1/2,y+1/2,-z'
'y,-x+1/2,z'
'-y,x+1/2,-z'
'x+1/2,-y,-z'
'-x+1/2,y,z'
'-y,-x,-z'
'y,x,z'
'-x,y+1/2,-z'
'x,-y+1/2,z'
'y+1/2,x+1/2,-z'
'-y+1/2,-x+1/2,z'
loop_
_atom_site_label
_atom_site_type_symbol
_atom_site_fract_x
_atom_site_fract_y
_atom_site_fract_z
Th1 Th 0.2500 0.2500 0.0901
Sn1 Sn 0.2500 0.2500 0.6214
S1 S 0.2500 0.2500 0.3971
S2 S 0.2500 0.2500 0.8032
N1 N 0.2500 0.7500 0.0000
# N(E_F): 5.94 states/eV/cell
# Total energy: -6.7426 eV/atom
# Total magnetization: 0.00 μB per formula unit
# Uncorrected formation energy: -1.1420 eV per atom

Entry 12:
# GGA-PBE YEr3Tm3, optimized geometry
data_YEr3Tm3
_symmetry_space_group_name_H-M 'R -3'
_symmetry_Int_Tables_number 148
_symmetry_space_group_name_Hall '-R 3'
_cell_length_a 6.0873
_cell_length_b 6.0873
_cell_length_c 42.0792
_cell_angle_alpha 90.00
_cell_angle_beta 90.00
_cell_angle_gamma 120.00
loop_
_atom_site_label
_atom_site_type_symbol
_atom_site_fract_x
_atom_site_fract_y
_atom_site_fract_z
Y1 Y 0.0000 0.0000 0.1667
Er1 Er 0.0002 0.3315 0.6331
Tm1 Tm 0.0000 0.3343 0.4328
# Excess energy over the best structure of this formula in the dataset: 0.143 eV/atom
# N(E_F): 59.98 states/eV/cell
# ΔH_f (0 K): 1.0 eV per formula unit
# Total energy: -4.6507 eV/atom
# Total magnetization: 0.00 μB per formula unit

Entry 13:
# GGA-PBE PuAlIr, optimized geometry
data_PuAlIr
_symmetry_space_group_name_H-M 'I 4 m m'
_symmetry_Int_Tables_number 107
_symmetry_space_group_name_Hall 'I 4 -2'
_cell_length_a 3.0563
_cell_length_b 3.0563
_cell_length_c 11.7770
_cell_angle_alpha 90.00
_cell_angle_beta 90.00
_cell_angle_gamma 90.00
loop_
_atom_site_label
_atom_site_type_symbol
_atom_site_fract_x
_atom_site_fract_y
_atom_site_fract_z
Pu1 Pu 0.0000 0.0000 0.0000
Al1 Al 0.0000 0.0000 0.2958
Ir1 Ir 0.0000 0.0000 0.6796
# N(E_F): 12.50 states/eV/cell
# ΔH_f (0 K): -1.6 eV per formula unit
# Total energy: -9.5065 eV/atom
# Total magnetization: 5.30 μB per formula unit

Entry 14:
# GGA-PBE MgO, optimized geometry
data_MgO
_symmetry_space_group_name_H-M 'I b a m'
_symmetry_Int_Tables_number 72
_symmetry_space_group_name_Hall '-I 2 2c'
_cell_length_a 6.1579
_cell_length_b 21.6054
_cell_length_c 4.2222
_cell_angle_alpha 90.00
_cell_angle_beta 90.00
_cell_angle_gamma 90.00
loop_
_atom_site_label
_atom_site_type_symbol
_atom_site_fract_x
_atom_site_fract_y
_atom_site_fract_z
Mg1 Mg 0.1648 0.1281 0.0000
Mg2 Mg 0.1657 0.2907 0.0000
Mg3 Mg 0.1664 0.4525 0.0000
O1 O 0.1653 0.1283 0.5000
O2 O 0.1657 0.2906 0.5000
O3 O 0.1713 0.4524 0.5000
# N(E_F): 0.00 states/eV/cell
# Total energy: -5.9223 eV/atom
# Total magnetization: 0.00 μB per formula unit
# Uncorrected formation energy: -2.6459 eV per atom

Entry 15:
# GGA-PBE CsInSn2Br6, optimized geometry
data_CsInSn2Br6
_symmetry_space_group_name_H-M 'C 1 2/c 1'
_symmetry_Int_Tables_number 15
_cell_length_a 17.8789
_cell_length_b 10.1332
_cell_length_c 11.6387
_cell_angle_alpha 90.00
_cell_angle_beta 127.00
_cell_angle_gamma 90.00
loop_
_symmetry_equiv_pos_as_xyz
'x,y,z'
'-x,-y,-z'
'-x,y,-z+1/2'
'x,-y,z+1/2'
'x+1/2,y+1/2,z'
'-x+1/2,-y+1/2,-z'
'-x+1/2,y+1/2,-z+1/2'
'x+1/2,-y+1/2,z+1/2'
loop_
_atom_site_label
_atom_site_type_symbol
_atom_site_fract_x
_atom_site_fract_y
_atom_site_fract_z
Cs1 Cs 0.0000 0.1573 0.2500
In1 In 0.0000 0.3249 0.7500
Sn1 Sn 0.2213 0.4997 0.2107
Br1 Br 0.1129 0.1213 0.6831
Br2 Br 0.1272 0.2621 0.1006
Br3 Br 0.1753 0.4340 0.4434
# N(E_F): 0.00 states/eV/cell
# Total energy: -3.1108 eV/atom
# Total magnetization: 0.00 μB per formula unit
# Uncorrected formation energy: -0.9473 eV per atom

Entry 16:
# GGA-PBE Tl2HgBSe4, optimized geometry
data_Tl2HgBSe4
_symmetry_space_group_name_H-M 'P 1'
_symmetry_Int_Tables_number 1
_cell_length_a 6.5949
_cell_length_b 6.5958
_cell_length_c 6.5981
_cell_angle_alpha 113.54
_cell_angle_beta 113.51
_cell_angle_gamma 101.61
loop_
_symmetry_equiv_pos_as_xyz
'x,y,z'
loop_
_atom_site_label
_atom_site_type_symbol
_atom_site_fract_x
_atom_site_fract_y
_atom_site_fract_z
Tl1 Tl 0.0000 0.0000 0.0000
Tl2 Tl 0.2508 0.7505 0.5003
Hg1 Hg 0.7502 0.2501 0.5002
B1 B 0.4996 0.5000 0.9998
Se1 Se 0.1861 0.5344 0.9743
Se2 Se 0.4649 0.4392 0.6518
Se3 Se 0.5594 0.2122 0.0258
Se4 Se 0.7877 0.8133 0.3471
# N(E_F): 4.23 states/eV/cell
# Total energy: -3.3889 eV/atom
# Total magnetization: 0.00 μB per formula unit
# Uncorrected formation energy: -0.1827 eV per atom

Entry 17:
# GGA-PBE CaBe2Ni, optimized geometry
data_CaBe2Ni
_symmetry_space_group_name_H-M 'P 1 m 1'
_symmetry_Int_Tables_number 6
_cell_length_a 3.1212
_cell_length_b 3.4519
_cell_length_c 5.6606
_cell_angle_alpha 90.00
_cell_angle_beta 90.45
_cell_angle_gamma 90.00
loop_
_symmetry_equiv_pos_as_xyz
'x,y,z'
'x,-y,z'
loop_
_atom_site_label
_atom_site_type_symbol
_atom_site_fract_x
_atom_site_fract_y
_atom_site_fract_z
Ca1 Ca 0.0000 0.0000 0.0000
Be1 Be 0.5040 0.5000 0.3111
Be2 Be 0.5045 0.0000 0.5306
Ni1 Ni 0.0072 0.5000 0.5628
# Excess energy over the best structure of this formula in the dataset: 0.294 eV/atom
# N(E_F): 1.85 states/eV/cell
# ΔH_f (0 K): 0.6 eV per formula unit
# Total energy: -3.6713 eV/atom
# Total magnetization: 0.00 μB per formula unit

Entry 18:
# GGA-PBE K2Pb2Br, optimized geometry
data_K2Pb2Br
_symmetry_space_group_name_H-M 'I 4/m m m'
_symmetry_Int_Tables_number 139
_symmetry_space_group_name_Hall '-I 4 2'
_cell_length_a 7.1245
_cell_length_b 7.1245
_cell_length_c 9.0212
_cell_angle_alpha 90.00
_cell_angle_beta 90.00
_cell_angle_gamma 90.00
loop_
_atom_site_label
_atom_site_type_symbol
_atom_site_fract_x
_atom_site_fract_y
_atom_site_fract_z
K1 K 0.0000 0.5000 0.2500
Pb1 Pb 0.0000 0.0000 0.1546
Br1 Br 0.0000 0.0000 0.5000
# Excess energy over the best structure of this formula in the dataset: 0.100 eV/atom
# N(E_F): 4.50 states/eV/cell
# Total energy: -2.4814 eV/atom
# Total magnetization: 0.00 μB per formula unit
# Uncorrected formation energy: -0.2245 eV per atom

Entry 19:
# GGA-PBE K2YSi, optimized geometry
data_K2YSi
_symmetry_space_group_name_H-M 'R -3 m'
_symmetry_Int_Tables_number 166
_symmetry_space_group_name_Hall '-R 3 2"'
_cell_length_a 3.5111
_cell_length_b 3.5111
_cell_length_c 38.7469
_cell_angle_alpha 90.00
_cell_angle_beta 90.00
_cell_angle_gamma 120.00
loop_
_atom_site_label
_atom_site_type_symbol
_atom_site_fract_x
_atom_site_fract_y
_atom_site_fract_z
K1 K 0.0000 0.0000 0.2378
Y1 Y 0.0000 0.0000 0.0000
Si1 Si 0.0000 0.0000 0.5000
# N(E_F): 14.01 states/eV/cell
# Total energy: -2.8905 eV/atom
# Total magnetization: 0.17 μB per formula unit
# Uncorrected formation energy: 0.6300 eV per atom

Entry 20:
# GGA-PBE CdAg2S, optimized geometry
data_CdAg2S
_symmetry_space_group_name_H-M 'R -3 m'
_symmetry_Int_Tables_number 166
_symmetry_space_group_name_Hall '-R 3 2"'
_cell_length_a 3.2580
_cell_length_b 3.2580
_cell_length_c 27.7645
_cell_angle_alpha 90.00
_cell_angle_beta 90.00
_cell_angle_gamma 120.00
loop_
_atom_site_label
_atom_site_type_symbol
_atom_site_fract_x
_atom_site_fract_y
_atom_site_fract_z
Cd1 Cd 0.0000 0.0000 0.0000
Ag1 Ag 0.0000 0.0000 0.0994
S1 S 0.0000 0.0000 0.5000
# N(E_F): 5.92 states/eV/cell
# Total energy: -2.4118 eV/atom
# Total magnetization: 0.00 μB per formula unit
# Uncorrected formation energy: 0.2745 eV per atom